# Cs2ZrRhF6 | Alexandria via LeMat-Bulk | GGA-PBE | relaxed
data_Cs2ZrRhF6
_cell_length_a 7.3549
_cell_length_b 7.3549
_cell_length_c 8.4372
_cell_angle_alpha 90.00
_cell_angle_beta 90.00
_cell_angle_gamma 90.00
_space_group_name_H-M_alt 'I 4/m m m'
_space_group_IT_number 139
_space_group_name_Hall '-I 4 2'
loop_
_atom_site_label
_atom_site_type_symbol
_atom_site_fract_x
_atom_site_fract_y
_atom_site_fract_z
_atom_site_occupancy
Cs1 Cs 0.0000 0.5000 0.2500 1
Zr1 Zr 0.0000 0.0000 0.0000 1
Rh1 Rh 0.0000 0.0000 0.5000 1
F1 F 0.0000 0.0000 0.2434 1
F2 F 0.1961 0.1961 0.0000 1
# Uncorrected formation energy, eV per formula unit: -25.44
# Calculated volume, Å³/cell: 456.4
# Total DFT energy (no corrections), eV/atom: -5.428